(1)
Below is a relaxed Cd3Ag6Sb crystal, with properties calculated at the GGA-PBE level.

Summary:
Uncorrected formation energy: 0.069 eV/atom
Space-group type: Cmc2_1

a = 8.9068 Å, b = 8.9068 Å, c = 5.5610 Å
α = 90.00°, β = 90.00°, γ = 109.01°
Closest atoms and distances in Å follow each position.
Fractional positions:
Cd 0.0957 0.9043 0.5000  2 Cd 2.95, 6 Ag 3.05-3.16, 1 Sb 3.29
Cd 0.2064 0.3621 0.9786  7 Ag 2.86-3.17, 1 Cd 2.95
Cd 0.3621 0.2064 0.4786  7 Ag 2.86-3.17, 1 Cd 2.95
Cd 0.6379 0.7936 0.9786  7 Ag 2.86-3.17, 1 Cd 2.95
Cd 0.7936 0.6379 0.4786  7 Ag 2.86-3.17, 1 Cd 2.95
Cd 0.9043 0.0957 0.0000  2 Cd 2.95, 6 Ag 3.05-3.16, 1 Sb 3.29
Ag 0.0007 0.4964 0.2379  6 Ag 2.78-2.96, 2 Cd 2.88, 1 Sb 3.11
Ag 0.0491 0.2285 0.4947  5 Cd 2.86-3.16, 4 Ag 2.87-2.96
Ag 0.2285 0.0491 0.9947  5 Cd 2.86-3.16, 4 Ag 2.87-2.96
Ag 0.2667 0.7333 0.9934  2 Sb 2.89-2.90, 6 Ag 2.94-2.95, 2 Cd 3.17
Ag 0.4964 0.0007 0.7379  6 Ag 2.78-2.96, 2 Cd 2.88, 1 Sb 3.11
Ag 0.4968 0.5032 0.2334  2 Ag 2.78, 4 Cd 2.86-2.87, 2 Sb 2.91-2.95
Ag 0.5032 0.4968 0.7334  2 Ag 2.78, 4 Cd 2.86-2.87, 2 Sb 2.91-2.95
Ag 0.5036 0.9993 0.2379  6 Ag 2.78-2.96, 2 Cd 2.88, 1 Sb 3.11
Ag 0.7333 0.2667 0.4934  2 Sb 2.89-2.90, 6 Ag 2.94-2.95, 2 Cd 3.17
Ag 0.7715 0.9509 0.4947  5 Cd 2.86-3.16, 4 Ag 2.87-2.96
Ag 0.9509 0.7715 0.9947  5 Cd 2.86-3.16, 4 Ag 2.87-2.96
Ag 0.9993 0.5036 0.7379  6 Ag 2.78-2.96, 2 Cd 2.88, 1 Sb 3.11
Sb 0.3224 0.6776 0.4922  8 Ag 2.89-3.13
Sb 0.6776 0.3224 0.9922  8 Ag 2.89-3.13

***

(2)
Below is a relaxed Cd2AgSb crystal, with properties calculated at the GGA-PBE level.

Summary:
Uncorrected formation energy: 0.069 eV/atom
Space-group type: R3m

a = 5.8786 Å, b = 5.8786 Å, c = 5.8786 Å
α = 47.01°, β = 47.01°, γ = 47.01°
Closest atoms and distances in Å follow each position.
Fractional positions:
Cd 0.0000 0.0000 0.0000  3 Ag 2.93, 1 Cd 3.15, 3 Sb 3.24
Cd 0.2010 0.2010 0.2010  3 Ag 2.87, 3 Sb 3.04, 1 Cd 3.15
Ag 0.5955 0.5955 0.5955  6 Cd 2.87-2.93, 1 Sb 2.89
Sb 0.7798 0.7798 0.7798  1 Ag 2.89, 3 Cd 3.04

***

(3)
Below is a relaxed CdAg3Sb crystal, with properties calculated at the GGA-PBE level.

Summary:
Uncorrected formation energy: 0.352 eV/atom
Space-group type: Pm-3m

a = 5.3221 Å, b = 5.3221 Å, c = 5.3221 Å
α = 90.00°, β = 90.00°, γ = 90.00°
Closest atoms and distances in Å follow each position.
Fractional positions:
Cd 0.0000 0.0000 0.0000  12 Ag 3.76
Ag 0.0000 0.5000 0.5000  2 Sb 2.66
Ag 0.5000 0.0000 0.5000  2 Sb 2.66
Ag 0.5000 0.5000 0.0000  2 Sb 2.66
Sb 0.5000 0.5000 0.5000  6 Ag 2.66

***

Please write out number 1 again, unchanged.
Below is a relaxed Cd3Ag6Sb crystal, with properties calculated at the GGA-PBE level.

Summary:
Uncorrected formation energy: 0.069 eV/atom
Space-group type: Cmc2_1

a = 8.9068 Å, b = 8.9068 Å, c = 5.5610 Å
α = 90.00°, β = 90.00°, γ = 109.01°
Closest atoms and distances in Å follow each position.
Fractional positions:
Cd 0.0957 0.9043 0.5000  2 Cd 2.95, 6 Ag 3.05-3.16, 1 Sb 3.29
Cd 0.2064 0.3621 0.9786  7 Ag 2.86-3.17, 1 Cd 2.95
Cd 0.3621 0.2064 0.4786  7 Ag 2.86-3.17, 1 Cd 2.95
Cd 0.6379 0.7936 0.9786  7 Ag 2.86-3.17, 1 Cd 2.95
Cd 0.7936 0.6379 0.4786  7 Ag 2.86-3.17, 1 Cd 2.95
Cd 0.9043 0.0957 0.0000  2 Cd 2.95, 6 Ag 3.05-3.16, 1 Sb 3.29
Ag 0.0007 0.4964 0.2379  6 Ag 2.78-2.96, 2 Cd 2.88, 1 Sb 3.11
Ag 0.0491 0.2285 0.4947  5 Cd 2.86-3.16, 4 Ag 2.87-2.96
Ag 0.2285 0.0491 0.9947  5 Cd 2.86-3.16, 4 Ag 2.87-2.96
Ag 0.2667 0.7333 0.9934  2 Sb 2.89-2.90, 6 Ag 2.94-2.95, 2 Cd 3.17
Ag 0.4964 0.0007 0.7379  6 Ag 2.78-2.96, 2 Cd 2.88, 1 Sb 3.11
Ag 0.4968 0.5032 0.2334  2 Ag 2.78, 4 Cd 2.86-2.87, 2 Sb 2.91-2.95
Ag 0.5032 0.4968 0.7334  2 Ag 2.78, 4 Cd 2.86-2.87, 2 Sb 2.91-2.95
Ag 0.5036 0.9993 0.2379  6 Ag 2.78-2.96, 2 Cd 2.88, 1 Sb 3.11
Ag 0.7333 0.2667 0.4934  2 Sb 2.89-2.90, 6 Ag 2.94-2.95, 2 Cd 3.17
Ag 0.7715 0.9509 0.4947  5 Cd 2.86-3.16, 4 Ag 2.87-2.96
Ag 0.9509 0.7715 0.9947  5 Cd 2.86-3.16, 4 Ag 2.87-2.96
Ag 0.9993 0.5036 0.7379  6 Ag 2.78-2.96, 2 Cd 2.88, 1 Sb 3.11
Sb 0.3224 0.6776 0.4922  8 Ag 2.89-3.13
Sb 0.6776 0.3224 0.9922  8 Ag 2.89-3.13

***

Question: Which formula does entry 2 have?
Answer: Cd2AgSb